Entry 1:
# GGA-PBE Ba2Ga4BiAu3, relaxed
# **DFT formation energy**: -51.40 kJ/mol of atoms
# **SG**: P-4m2
# **Calculated volume**: 249.6 Å³ per cell
# **VASP energy**: -34.994 eV for the cell shown
data_Ba2Ga4BiAu3
_space_group_name_H-M_alt 'P 1'
_space_group_IT_number 1
_cell_length_a 4.736
_cell_length_b 4.736
_cell_length_c 11.131
_cell_angle_alpha 90.00
_cell_angle_beta 90.00
_cell_angle_gamma 90.00
loop_
_space_group_symop_operation_xyz
'x,y,z'
loop_
_atom_site_label
_atom_site_type_symbol
_atom_site_fract_x
_atom_site_fract_y
_atom_site_fract_z
Ba1 Ba 0.000 0.500 0.760
Ga1 Ga 0.500 0.500 0.000
Au1 Au 0.500 0.000 0.884
Ga2 Ga 0.000 0.000 0.000
Ga3 Ga 0.000 0.500 0.351
Au2 Au 0.000 0.000 0.500
Ga4 Ga 0.500 0.000 0.649
Au3 Au 0.000 0.500 0.116
Ba2 Ba 0.500 0.000 0.240
Bi1 Bi 0.500 0.500 0.500

***

Entry 2:
# GGA-PBE Ca2PSe2, relaxed
# **SG**: P4/mbm
# **ΔE to the lowest computed polymorph**: 0.127 eV/atom
# **Calculated volume**: 242.4 Å³ per cell
# **VASP energy**: -41.832 eV for the cell shown
data_Ca2PSe2
_space_group_name_H-M_alt 'P 1'
_space_group_IT_number 1
_cell_length_a 7.857
_cell_length_b 7.857
_cell_length_c 3.926
_cell_angle_alpha 90.00
_cell_angle_beta 90.00
_cell_angle_gamma 90.00
loop_
_space_group_symop_operation_xyz
'x,y,z'
loop_
_atom_site_label
_atom_site_type_symbol
_atom_site_fract_x
_atom_site_fract_y
_atom_site_fract_z
Ca1 Ca 0.344 0.844 0.000
Se1 Se 0.659 0.841 0.500
P1 P 0.500 0.500 0.000
Se2 Se 0.841 0.341 0.500
Se3 Se 0.341 0.159 0.500
P2 P 0.000 0.000 0.000
Ca2 Ca 0.156 0.344 0.000
Ca3 Ca 0.844 0.656 0.000
Ca4 Ca 0.656 0.156 0.000
Se4 Se 0.159 0.659 0.500

***

Entry 3:
# GGA-PBE Pb3W, relaxed
# **DFT formation energy**: 103.09 kJ/mol of atoms
# **SG**: Pm-3m
# **ΔE to the lowest computed polymorph**: 0.611 eV/atom
# **Calculated volume**: 105.1 Å³ per cell
# **VASP energy**: -19.804 eV for the cell shown
data_Pb3W
_space_group_name_H-M_alt 'P 1'
_space_group_IT_number 1
_cell_length_a 4.720
_cell_length_b 4.720
_cell_length_c 4.720
_cell_angle_alpha 90.00
_cell_angle_beta 90.00
_cell_angle_gamma 90.00
loop_
_space_group_symop_operation_xyz
'x,y,z'
loop_
_atom_site_label
_atom_site_type_symbol
_atom_site_fract_x
_atom_site_fract_y
_atom_site_fract_z
W1 W 0.000 0.000 0.000
Pb1 Pb 0.500 0.500 0.000
Pb2 Pb 0.500 0.000 0.500
Pb3 Pb 0.000 0.500 0.500

***

Entry 4:
# GGA-PBE LiTm2Tl2Pb5, relaxed
# **DFT formation energy**: -11.01 kJ/mol of atoms
# **SG**: P4/mbm
# **Calculated volume**: 594.3 Å³ per cell
# **VASP energy**: -70.545 eV for the cell shown
data_LiTm2Tl2Pb5
_space_group_name_H-M_alt 'P 1'
_space_group_IT_number 1
_cell_length_a 4.876
_cell_length_b 11.041
_cell_length_c 11.041
_cell_angle_alpha 90.00
_cell_angle_beta 90.00
_cell_angle_gamma 90.00
loop_
_space_group_symop_operation_xyz
'x,y,z'
loop_
_atom_site_label
_atom_site_type_symbol
_atom_site_fract_x
_atom_site_fract_y
_atom_site_fract_z
Pb1 Pb 0.500 0.917 0.188
Pb2 Pb 0.500 0.312 0.583
Pb3 Pb 0.500 0.812 0.917
Tm1 Tm 0.000 0.378 0.122
Pb4 Pb 0.500 0.417 0.312
Tl1 Tl 0.000 0.823 0.677
Tm2 Tm 0.000 0.878 0.378
Tl2 Tl 0.000 0.323 0.823
Pb5 Pb 0.500 0.500 0.000
Pb6 Pb 0.500 0.583 0.688
Pb7 Pb 0.500 0.188 0.083
Li1 Li 0.000 0.500 0.500
Pb8 Pb 0.500 0.688 0.417
Tl3 Tl 0.000 0.177 0.323
Tm3 Tm 0.000 0.622 0.878
Tm4 Tm 0.000 0.122 0.622
Tl4 Tl 0.000 0.677 0.177
Pb9 Pb 0.500 0.000 0.500
Li2 Li 0.000 0.000 0.000
Pb10 Pb 0.500 0.083 0.812

***

Entry 5:
# GGA-PBE KMg2Mo, relaxed
# **DFT formation energy**: 65.63 kJ/mol of atoms
# **SG**: R3m
# **ΔE to the lowest computed polymorph**: 0.144 eV/atom
# **Calculated volume**: 90.9 Å³ per cell
# **VASP energy**: -12.397 eV for the cell shown
data_KMg2Mo
_space_group_name_H-M_alt 'P 1'
_space_group_IT_number 1
_cell_length_a 11.589
_cell_length_b 11.589
_cell_length_c 11.589
_cell_angle_alpha 15.01
_cell_angle_beta 15.01
_cell_angle_gamma 15.01
loop_
_space_group_symop_operation_xyz
'x,y,z'
loop_
_atom_site_label
_atom_site_type_symbol
_atom_site_fract_x
_atom_site_fract_y
_atom_site_fract_z
K1 K 0.755 0.755 0.755
Mg1 Mg 0.991 0.991 0.991
Mo1 Mo 0.510 0.510 0.510
Mg2 Mg 0.244 0.244 0.244

***

Entry 6:
# GGA-PBE VGaPt, relaxed
# **DFT formation energy**: -36.34 kJ/mol of atoms
# **SG**: P1
# **Calculated volume**: 88.7 Å³ per cell
# **VASP energy**: -38.632 eV for the cell shown
data_VGaPt
_space_group_name_H-M_alt 'P 1'
_space_group_IT_number 1
_cell_length_a 4.736
_cell_length_b 4.686
_cell_length_c 4.835
_cell_angle_alpha 71.82
_cell_angle_beta 81.20
_cell_angle_gamma 60.50
loop_
_space_group_symop_operation_xyz
'x,y,z'
loop_
_atom_site_label
_atom_site_type_symbol
_atom_site_fract_x
_atom_site_fract_y
_atom_site_fract_z
Pt1 Pt 0.733 0.501 0.499
Ga1 Ga 0.061 0.836 0.497
V1 V 0.408 0.161 0.502
Ga2 Ga 0.444 0.642 0.000
V2 V 0.769 0.981 0.996
Pt2 Pt 0.111 0.310 0.000